# CaBWO5 (PBE with a Hubbard U, relaxed)
# - Calculated volume: 364.7 Å³ per cell
# - Energy: -60.20 eV per formula unit
data_CaBWO5
_cell_length_a 6.467
_cell_length_b 8.506
_cell_length_c 7.281
_cell_angle_alpha 90.00
_cell_angle_beta 114.40
_cell_angle_gamma 90.00
_symmetry_space_group_name_H-M 'C 1 2/c 1'
_symmetry_Int_Tables_number 15
loop_
_symmetry_equiv_pos_as_xyz
'x,y,z'
'-x,-y,-z'
'-x,y,-z+1/2'
'x,-y,z+1/2'
'x+1/2,y+1/2,z'
'-x+1/2,-y+1/2,-z'
'-x+1/2,y+1/2,-z+1/2'
'x+1/2,-y+1/2,z+1/2'
loop_
_atom_site_label
_atom_site_fract_x
_atom_site_fract_y
_atom_site_fract_z
Ca1 0.000 0.157 0.250
B1 0.000 0.187 0.750
W1 0.000 0.500 0.000
O1 0.000 0.420 0.250
O2 0.097 0.284 0.632
O3 0.178 0.076 0.894